DFT (PBEsol) results for crystalline BaTb2ZnO5 at its relaxed geometry.

Cell and atoms, written as extended XYZ:
```
36
Lattice="12.317 0.000 0.000 0.000 5.700 0.000 0.000 0.000 7.057" Properties=species:S:1:pos:R:3 pbc="T T T"
Ba 1.236 1.425 0.543
Ba 4.922 4.275 4.072
Ba 7.395 1.425 2.986
Ba 11.081 4.275 6.515
Tb 0.920 4.275 2.827
Tb 2.558 1.425 4.375
Tb 3.601 4.275 0.846
Tb 5.239 1.425 6.355
Tb 7.079 4.275 0.702
Tb 8.717 1.425 6.212
Tb 9.759 4.275 2.683
Tb 11.397 1.425 4.231
Zn 1.857 4.275 5.709
Zn 4.302 1.425 2.180
Zn 8.016 4.275 4.877
Zn 10.461 1.425 1.348
O 0.804 2.866 4.701
O 0.804 5.685 4.701
O 1.237 4.275 0.526
O 2.765 0.007 2.528
O 2.765 2.843 2.528
O 3.393 2.857 6.057
O 3.393 5.693 6.057
O 4.922 1.425 4.055
O 5.355 0.015 1.173
O 5.355 2.835 1.173
O 6.963 2.866 5.885
O 6.963 5.685 5.885
O 7.396 4.275 3.002
O 8.924 0.007 1.000
O 8.924 2.843 1.000
O 9.552 2.857 4.529
O 9.552 5.693 4.529
O 11.080 1.425 6.531
O 11.513 0.015 2.356
O 11.513 2.835 2.356
```

Output
Symmetry: Pnma (62)
N(E_F): 0.0 states/eV per cell
Magnetization: 0.00 Bohr magnetons per cell
Energy relative to the elements, uncorrected: -2928 meV/atom


DFT (PBEsol) results for crystalline Ba2FeWO6 at its relaxed geometry.

Cell and atoms, written as extended XYZ:
```
10
Lattice="0.000 4.036 4.036 4.036 0.000 4.036 4.036 4.036 0.000" Properties=species:S:1:pos:R:3 pbc="T T T"
Ba 2.018 2.018 2.018
Ba 6.054 6.054 6.054
Fe 0.000 0.000 0.000
W 4.036 4.036 4.036
O 4.036 4.036 2.089
O 4.036 2.089 4.036
O 5.983 4.036 4.036
O 2.089 4.036 4.036
O 4.036 5.983 4.036
O 4.036 4.036 5.983
```

Output
Symmetry: Fm-3m (225)
N(E_F): 2.0 states/eV per cell
Magnetization: 4.00 Bohr magnetons per cell
Energy relative to the elements, uncorrected: -2386 meV/atom